Entry 1:
TlZn2Br: optimized geometry, PBE.

a = 5.896 Å, b = 5.896 Å, c = 5.896 Å
α = 144.16°, β = 120.44°, γ = 71.50°
Element x y z (fractional)
Zn 0.764 0.264 0.500
Zn 0.964 0.964 0.000
Br 0.545 0.545 0.000
Tl 0.227 0.727 0.500

* formation energy (no corrections): -0.014 eV per atom
* offset from the most stable computed form: 132 meV per atom
* E_tot: -6.64 eV per cell
* density of states at the Fermi level: 0.554 states/eV per atom
* total moment: 0.0 Bohr magnetons per cell

***

Entry 2:
LaPaSbTe: optimized geometry, PBE.

a = 5.427 Å, b = 5.427 Å, c = 5.427 Å
α = 60.00°, β = 60.00°, γ = 60.00°
Element x y z (fractional)
La 0.000 0.000 0.000
Pa 0.500 0.500 0.500
Sb 0.750 0.750 0.750
Te 0.250 0.250 0.250

* formation energy (no corrections): -0.831 eV per atom
* E_tot: -25.01 eV per cell
* density of states at the Fermi level: 1.302 states/eV per atom
* total moment: 1.7 Bohr magnetons per cell

***

Entry 3:
Cd3In2Hg6Pb: optimized geometry, PBE.

a = 4.165 Å, b = 4.165 Å, c = 21.242 Å
α = 90.00°, β = 90.00°, γ = 90.00°
Element x y z (fractional)
Hg 0.000 0.000 0.131
Hg 0.500 0.000 0.621
Hg 0.500 0.000 0.379
Hg 0.000 0.500 0.621
Hg 0.000 0.500 0.379
Hg 0.000 0.000 0.869
Pb 0.500 0.500 0.500
In 0.500 0.500 0.794
In 0.500 0.500 0.206
Cd 0.000 0.000 0.730
Cd 0.000 0.000 0.000
Cd 0.000 0.000 0.270

* ΔH_f (0 K): 122 meV/atom
* E_tot: -12.28 eV per cell
* density of states at the Fermi level: 0.489 states/eV per atom
* total moment: 0.0 Bohr magnetons per cell

***

Entry 4:
CuSn2W: optimized geometry, PBE.

a = 7.379 Å, b = 7.379 Å, c = 5.985 Å
α = 51.94°, β = 51.94°, γ = 90.00°
Element x y z (fractional)
Sn 0.148 0.625 0.250
Sn 0.375 0.398 0.750
Sn 0.875 0.852 0.750
Sn 0.602 0.125 0.250
W 0.750 0.250 0.500
W 0.000 0.000 0.000
Cu 0.500 0.500 0.000
Cu 0.250 0.750 0.500

* ΔH_f (0 K): 870 meV/atom
* offset from the most stable computed form: 185 meV per atom
* E_tot: -43.15 eV per cell
* density of states at the Fermi level: 1.114 states/eV per atom
* total moment: 0.0 Bohr magnetons per cell

***

Entry 5:
RbCo2Re: optimized geometry, PBE.

a = 4.540 Å, b = 4.540 Å, c = 4.540 Å
α = 60.00°, β = 60.00°, γ = 60.00°
Element x y z (fractional)
Rb 0.000 0.000 0.000
Co 0.250 0.250 0.250
Co 0.750 0.750 0.750
Re 0.500 0.500 0.500

* ΔH_f (0 K): 1815 meV/atom
* offset from the most stable computed form: 335 meV per atom
* E_tot: -20.37 eV per cell
* density of states at the Fermi level: 1.224 states/eV per atom
* total moment: 2.9 Bohr magnetons per cell

***

Entry 6:
Na3TiNi: optimized geometry, PBE.

a = 5.759 Å, b = 5.759 Å, c = 5.759 Å
α = 90.00°, β = 90.00°, γ = 90.00°
Element x y z (fractional)
Ti 0.000 0.000 0.000
Ni 0.500 0.500 0.500
Na 0.000 0.500 0.000
Na 0.000 0.000 0.500
Na 0.500 0.000 0.000

* ΔH_f (0 K): 1591 meV/atom
* offset from the most stable computed form: 408 meV per atom
* E_tot: -9.68 eV per cell
* density of states at the Fermi level: 3.432 states/eV per atom
* total moment: 3.4 Bohr magnetons per cell

***

Entry 7:
Ba2AlAu: optimized geometry, PBE.

a = 4.095 Å, b = 4.009 Å, c = 9.293 Å
α = 64.40°, β = 90.00°, γ = 90.00°
Element x y z (fractional)
Ba 0.000 0.492 0.509
Ba 0.000 0.008 0.991
Au 0.500 0.750 0.750
Al 0.500 0.250 0.250

* ΔH_f (0 K): -340 meV/atom
* E_tot: -12.23 eV per cell
* density of states at the Fermi level: 1.061 states/eV per atom
* total moment: 0.0 Bohr magnetons per cell

***

Entry 8:
MgNi5: optimized geometry, PBE.

a = 6.739 Å, b = 6.739 Å, c = 4.132 Å
α = 90.00°, β = 90.00°, γ = 157.98°
Element x y z (fractional)
Ni 0.671 0.329 0.000
Ni 0.439 0.561 0.500
Ni 0.780 0.220 0.500
Ni 0.117 0.883 0.500
Ni 0.328 0.672 0.000
Mg 0.000 0.000 0.000

* ΔH_f (0 K): 7 meV/atom
* E_tot: -30.46 eV per cell
* density of states at the Fermi level: 1.593 states/eV per atom
* total moment: 2.0 Bohr magnetons per cell